Compound: LaScOs2
Source: Alexandria via LeMat-Bulk
Functional: SCAN
Structure: PBEsol geometry

Unit cell a=3.233 b=4.548 c=4.912 alpha=90.00 beta=90.00 gamma=90.00
Space group Pmmm (No. 47)
One atom of each set of equivalent atoms:
1 La 0.000 0.000 0.000 [1 per cell]
2 Sc 0.500 0.000 0.500 [1 per cell]
3 Os 0.000 0.500 0.500 [1 per cell]
4 Os 0.500 0.500 0.000 [1 per cell]

Calculated values
As for the density: 12.97 g cm⁻³. The total energy is -1.8367 Ha/atom. The total magnetization is 0.0000 μB per atom. The value obtained for the excess energy over the best structure of this formula in the dataset is 266 meV per atom. The energy of formation comes out at 114.3 kJ/mol of formula units.